Entry 1:
# ZrHgSe2

ZrHgSe2 after structural relaxation (PBE, Alexandria).

Properties
mass density: 7.4 Mg/m³
space group: Pnma
energy above the lowest structure with this stoichiometry: 199.9 meV/atom
uncorrected energy: -4.75 eV per atom
E_form (uncorrected): -791 meV/atom

Cell: 6.5725 4.1314 14.9070 Å, 90.00 90.00 90.00°
Closest atoms and distances in Å follow each position.
Element x y z (fractional)
Se 0.7070 0.7500 0.9629  3 Zr 2.69-2.79
Zr 0.4767 0.7500 0.1200  5 Se 2.69-2.82
Se 0.2070 0.7500 0.5371  3 Zr 2.69-2.79
Hg 0.1833 0.7500 0.8530  2 Se 2.91, 2 Zr 3.07
Se 0.2930 0.2500 0.0371  3 Zr 2.69-2.79
Hg 0.6833 0.7500 0.6470  2 Se 2.91, 2 Zr 3.07
Zr 0.9767 0.7500 0.3800  5 Se 2.69-2.82
Zr 0.0233 0.2500 0.6200  5 Se 2.69-2.82
Zr 0.5233 0.2500 0.8800  5 Se 2.69-2.82
Se 0.7930 0.2500 0.4629  3 Zr 2.69-2.79
Se 0.5970 0.7500 0.2922  2 Zr 2.69-2.82, 2 Hg 2.91
Hg 0.3167 0.2500 0.3530  2 Se 2.91, 2 Zr 3.07
Se 0.4030 0.2500 0.7078  2 Zr 2.69-2.82, 2 Hg 2.91
Hg 0.8167 0.2500 0.1470  2 Se 2.91, 2 Zr 3.07
Se 0.9030 0.2500 0.7922  2 Zr 2.69-2.82, 2 Hg 2.91
Se 0.0970 0.7500 0.2078  2 Zr 2.69-2.82, 2 Hg 2.91

Entry 2:
# NaMg6B

NaMg6B after structural relaxation (PBE, Alexandria).

Properties
ΔE_f: 0.351 eV/atom
mass density: 1.7 Mg/m³
space group: Amm2
uncorrected energy: -1.84 eV per atom

Cell: 7.4808 7.4808 4.3037 Å, 90.00 90.00 131.95°
Closest atoms and distances in Å follow each position.
Element x y z (fractional)
Mg 0.7001 0.8119 0.5000  1 B 2.43
Mg 0.3695 0.1808 0.0000  2 B 2.56, 1 Mg 2.74
Mg 0.1881 0.2999 0.5000  1 B 2.43
B 0.5809 0.4191 0.5000  6 Mg 2.43-2.56
Mg 0.3448 0.6552 0.0000  6 Mg 2.98-3.09, 2 Na 2.99
Na 0.1926 0.8074 0.5000  6 Mg 2.99-3.04
Mg 0.8192 0.6305 0.0000  2 B 2.56, 1 Mg 2.74
Mg 0.8048 0.1952 0.0000  8 Mg 3.09-3.23

Entry 3:
# Pm3Pr3In2

Pm3Pr3In2 after structural relaxation (PBE, Alexandria).

Properties
ΔE_f: -0.274 eV/atom
mass density: 7.3 Mg/m³
space group: Pmmm
energy above the lowest structure with this stoichiometry: 0.0 meV/atom
uncorrected energy: -4.53 eV per atom

Cell: 4.9715 4.9909 10.0110 Å, 90.00 90.00 90.00°
Closest atoms and distances in Å follow each position.
Element x y z (fractional)
Pr 0.5000 0.0000 0.5000  4 Pr 3.52, 4 Pm 3.54, 4 In 3.54
Pr 0.0000 0.5000 0.0000  4 In 3.52, 8 Pm 3.52
In 0.0000 0.0000 0.2481  6 Pm 3.51-3.52, 6 Pr 3.52-3.55
Pm 0.5000 0.5000 0.2492  6 Pr 3.52-3.54, 4 In 3.52, 2 Pm 3.53
Pm 0.5000 0.0000 0.0000  4 In 3.51, 4 Pr 3.52, 4 Pm 3.53
Pr 0.0000 0.5000 0.5000  4 Pr 3.52, 4 Pm 3.53, 4 In 3.55
Pm 0.5000 0.5000 0.7508  6 Pr 3.52-3.54, 4 In 3.52, 2 Pm 3.53
In 0.0000 0.0000 0.7519  6 Pm 3.51-3.52, 6 Pr 3.52-3.55

Entry 4:
# Ce3Ir7Ru2

Ce3Ir7Ru2 after structural relaxation (PBE, Alexandria).

Properties
ΔE_f: -0.532 eV/atom
mass density: 15.1 Mg/m³
space group: R-3m
uncorrected energy: -8.73 eV per atom

Cell: 5.3036 5.3036 9.3913 Å, 73.60 73.60 60.00°
Closest atoms and distances in Å follow each position.
Element x y z (fractional)
Ir 0.4180 0.4180 0.2461  5 Ir 2.65-2.73, 2 Ru 2.66-2.67
Ce 0.1388 0.1388 0.5837  12 Ir 3.05-3.37, 3 Ce 3.40
Ir 0.5820 0.5820 0.7539  5 Ir 2.65-2.73, 2 Ru 2.66-2.67
Ir 0.5000 0.5000 0.5000  6 Ir 2.73
Ru 0.6670 0.6670 0.9991  6 Ir 2.66-2.67
Ir 0.0820 0.5820 0.7539  5 Ir 2.65-2.73, 2 Ru 2.66-2.67
Ce 0.0000 0.0000 0.0000  6 Ru 3.06
Ir 0.4180 0.9180 0.2461  5 Ir 2.65-2.73, 2 Ru 2.66-2.67
Ce 0.8612 0.8612 0.4163  12 Ir 3.05-3.37, 3 Ce 3.40
Ir 0.9180 0.4180 0.2461  5 Ir 2.65-2.73, 2 Ru 2.66-2.67
Ir 0.5820 0.0820 0.7539  5 Ir 2.65-2.73, 2 Ru 2.66-2.67
Ru 0.3330 0.3330 0.0009  6 Ir 2.66-2.67